(1)
VASP calculation (PBE) on LaH2PdS after structural relaxation.

```
data_LaH2PdS
_chemical_formula_sum 'La1 H2 Pd1 S1'
_cell_length_a 3.936
_cell_length_b 3.936
_cell_length_c 4.864
_cell_angle_alpha 90.00
_cell_angle_beta 90.00
_cell_angle_gamma 90.00
_symmetry_space_group_name_H-M 'P 1'
_symmetry_Int_Tables_number 1
loop_
_symmetry_equiv_pos_as_xyz
'x,y,z'
loop_
_atom_site_label
_atom_site_type_symbol
_atom_site_fract_x
_atom_site_fract_y
_atom_site_fract_z
La1 La 0.000 0.000 0.000
H1 H 0.000 0.500 0.500
H2 H 0.500 0.000 0.500
Pd1 Pd 0.500 0.500 0.500
S1 S 0.500 0.500 0.000
```

* E_tot: -0.1835 hartree per atom
* space-group type: P4/mmm, No. 123
* theoretical density: 6.16 g cm⁻³

---

(2)
VASP calculation (PBE) on La2SbHPd after structural relaxation.

```
data_La2SbHPd
_chemical_formula_sum 'La2 Sb1 H1 Pd1'
_cell_length_a 5.319
_cell_length_b 5.319
_cell_length_c 3.994
_cell_angle_alpha 90.00
_cell_angle_beta 90.00
_cell_angle_gamma 90.00
_symmetry_space_group_name_H-M 'P 1'
_symmetry_Int_Tables_number 1
loop_
_symmetry_equiv_pos_as_xyz
'x,y,z'
loop_
_atom_site_label
_atom_site_type_symbol
_atom_site_fract_x
_atom_site_fract_y
_atom_site_fract_z
La1 La 0.000 0.500 0.000
La2 La 0.500 0.000 0.000
Sb1 Sb 0.000 0.000 0.500
H1 H 0.500 0.500 0.000
Pd1 Pd 0.500 0.500 0.500
```

* E_tot: -0.1945 hartree per atom
* space-group type: P4/mmm, No. 123
* theoretical density: 7.45 g cm⁻³

---

(3)
VASP calculation (PBE) on LaSbHPd after structural relaxation.

```
data_LaSbHPd
_chemical_formula_sum 'La1 Sb1 H1 Pd1'
_cell_length_a 4.620
_cell_length_b 4.620
_cell_length_c 4.206
_cell_angle_alpha 90.00
_cell_angle_beta 90.00
_cell_angle_gamma 120.00
_symmetry_space_group_name_H-M 'P 1'
_symmetry_Int_Tables_number 1
loop_
_symmetry_equiv_pos_as_xyz
'x,y,z'
loop_
_atom_site_label
_atom_site_type_symbol
_atom_site_fract_x
_atom_site_fract_y
_atom_site_fract_z
La1 La 0.000 0.000 0.000
Sb1 Sb 0.667 0.333 0.521
H1 H 0.333 0.667 0.027
Pd1 Pd 0.333 0.667 0.448
```

* E_tot: -0.1946 hartree per atom
* space-group type: P3m1, No. 156
* theoretical density: 7.86 g cm⁻³

---

(4)
VASP calculation (PBE) on LaSbHPd2 after structural relaxation.

```
data_LaSbHPd2
_chemical_formula_sum 'La2 Sb2 H2 Pd4'
_cell_length_a 6.182
_cell_length_b 6.182
_cell_length_c 7.328
_cell_angle_alpha 90.00
_cell_angle_beta 90.00
_cell_angle_gamma 138.39
_symmetry_space_group_name_H-M 'P 1'
_symmetry_Int_Tables_number 1
loop_
_symmetry_equiv_pos_as_xyz
'x,y,z'
loop_
_atom_site_label
_atom_site_type_symbol
_atom_site_fract_x
_atom_site_fract_y
_atom_site_fract_z
La1 La 0.072 0.928 0.750
La2 La 0.928 0.072 0.250
Sb1 Sb 0.213 0.787 0.250
Sb2 Sb 0.787 0.213 0.750
H1 H 0.500 0.500 0.000
H2 H 0.500 0.500 0.500
Pd1 Pd 0.351 0.649 0.552
Pd2 Pd 0.351 0.649 0.948
Pd3 Pd 0.649 0.351 0.052
Pd4 Pd 0.649 0.351 0.448
```

* E_tot: -0.1966 hartree per atom
* space-group type: Cmcm, No. 63
* theoretical density: 8.47 g cm⁻³

---

(5)
VASP calculation (PBE) on La2SbHPd6 after structural relaxation.

```
data_La2SbHPd6
_chemical_formula_sum 'La2 Sb1 H1 Pd6'
_cell_length_a 5.837
_cell_length_b 5.837
_cell_length_c 7.222
_cell_angle_alpha 113.82
_cell_angle_beta 113.82
_cell_angle_gamma 60.03
_symmetry_space_group_name_H-M 'P 1'
_symmetry_Int_Tables_number 1
loop_
_symmetry_equiv_pos_as_xyz
'x,y,z'
loop_
_atom_site_label
_atom_site_type_symbol
_atom_site_fract_x
_atom_site_fract_y
_atom_site_fract_z
La1 La 0.233 0.233 0.198
La2 La 0.767 0.767 0.802
Sb1 Sb 0.500 0.500 0.000
H1 H 0.000 0.000 0.500
Pd1 Pd 0.223 0.223 0.679
Pd2 Pd 0.223 0.731 0.678
Pd3 Pd 0.269 0.777 0.322
Pd4 Pd 0.731 0.223 0.678
Pd5 Pd 0.777 0.269 0.322
Pd6 Pd 0.777 0.777 0.321
```

* E_tot: -0.2041 hartree per atom
* space-group type: C2/m, No. 12
* theoretical density: 9.15 g cm⁻³

---

(6)
VASP calculation (PBE) on La2ScHPd6 after structural relaxation.

```
data_La2ScHPd6
_chemical_formula_sum 'La2 Sc1 H1 Pd6'
_cell_length_a 7.229
_cell_length_b 7.229
_cell_length_c 7.229
_cell_angle_alpha 47.64
_cell_angle_beta 47.64
_cell_angle_gamma 47.64
_symmetry_space_group_name_H-M 'P 1'
_symmetry_Int_Tables_number 1
loop_
_symmetry_equiv_pos_as_xyz
'x,y,z'
loop_
_atom_site_label
_atom_site_type_symbol
_atom_site_fract_x
_atom_site_fract_y
_atom_site_fract_z
La1 La 0.237 0.237 0.237
La2 La 0.763 0.763 0.763
Sc1 Sc 0.500 0.500 0.500
H1 H 0.000 0.000 0.000
Pd1 Pd 0.226 0.226 0.728
Pd2 Pd 0.226 0.728 0.226
Pd3 Pd 0.272 0.774 0.774
Pd4 Pd 0.728 0.226 0.226
Pd5 Pd 0.774 0.272 0.774
Pd6 Pd 0.774 0.774 0.272
```

* E_tot: -0.2112 hartree per atom
* space-group type: R-3m, No. 166
* theoretical density: 8.46 g cm⁻³

---

(7)
VASP calculation (PBE) on LaHPdSe2 after structural relaxation.

```
data_LaHPdSe2
_chemical_formula_sum 'La1 H1 Pd1 Se2'
_cell_length_a 5.109
_cell_length_b 5.109
_cell_length_c 3.733
_cell_angle_alpha 90.00
_cell_angle_beta 90.00
_cell_angle_gamma 90.00
_symmetry_space_group_name_H-M 'P 1'
_symmetry_Int_Tables_number 1
loop_
_symmetry_equiv_pos_as_xyz
'x,y,z'
loop_
_atom_site_label
_atom_site_type_symbol
_atom_site_fract_x
_atom_site_fract_y
_atom_site_fract_z
La1 La 0.000 0.000 0.000
H1 H 0.500 0.500 0.000
Pd1 Pd 0.500 0.500 0.500
Se1 Se 0.000 0.500 0.500
Se2 Se 0.500 0.000 0.500
```

* E_tot: -0.1850 hartree per atom
* space-group type: P4/mmm, No. 123
* theoretical density: 6.89 g cm⁻³

---

(8)
VASP calculation (PBE) on La2SiHPd after structural relaxation.

```
data_La2SiHPd
_chemical_formula_sum 'La2 Si1 H1 Pd1'
_cell_length_a 5.275
_cell_length_b 5.275
_cell_length_c 3.752
_cell_angle_alpha 90.00
_cell_angle_beta 90.00
_cell_angle_gamma 90.00
_symmetry_space_group_name_H-M 'P 1'
_symmetry_Int_Tables_number 1
loop_
_symmetry_equiv_pos_as_xyz
'x,y,z'
loop_
_atom_site_label
_atom_site_type_symbol
_atom_site_fract_x
_atom_site_fract_y
_atom_site_fract_z
La1 La 0.000 0.500 0.000
La2 La 0.500 0.000 0.000
Si1 Si 0.000 0.000 0.500
H1 H 0.500 0.500 0.000
Pd1 Pd 0.500 0.500 0.500
```

* E_tot: -0.1965 hartree per atom
* space-group type: P4/mmm, No. 123
* theoretical density: 6.57 g cm⁻³

---

(9)
VASP calculation (PBE) on La2SiHPd6 after structural relaxation.

```
data_La2SiHPd6
_chemical_formula_sum 'La2 Si1 H1 Pd6'
_cell_length_a 5.812
_cell_length_b 5.812
_cell_length_c 6.867
_cell_angle_alpha 115.27
_cell_angle_beta 115.27
_cell_angle_gamma 60.02
_symmetry_space_group_name_H-M 'P 1'
_symmetry_Int_Tables_number 1
loop_
_symmetry_equiv_pos_as_xyz
'x,y,z'
loop_
_atom_site_label
_atom_site_type_symbol
_atom_site_fract_x
_atom_site_fract_y
_atom_site_fract_z
La1 La 0.229 0.229 0.188
La2 La 0.771 0.771 0.812
Si1 Si 0.500 0.500 0.000
H1 H 0.000 0.000 0.500
Pd1 Pd 0.232 0.232 0.695
Pd2 Pd 0.232 0.733 0.696
Pd3 Pd 0.267 0.768 0.304
Pd4 Pd 0.733 0.232 0.696
Pd5 Pd 0.768 0.267 0.304
Pd6 Pd 0.768 0.768 0.305
```

* E_tot: -0.2104 hartree per atom
* space-group type: C2/m, No. 12
* theoretical density: 8.98 g cm⁻³

---

(10)
VASP calculation (PBE) on LaSiHPd2 after structural relaxation.

```
data_LaSiHPd2
_chemical_formula_sum 'La2 Si2 H2 Pd4'
_cell_length_a 5.898
_cell_length_b 5.898
_cell_length_c 7.257
_cell_angle_alpha 90.00
_cell_angle_beta 90.00
_cell_angle_gamma 140.29
_symmetry_space_group_name_H-M 'P 1'
_symmetry_Int_Tables_number 1
loop_
_symmetry_equiv_pos_as_xyz
'x,y,z'
loop_
_atom_site_label
_atom_site_type_symbol
_atom_site_fract_x
_atom_site_fract_y
_atom_site_fract_z
La1 La 0.058 0.942 0.750
La2 La 0.942 0.058 0.250
Si1 Si 0.224 0.776 0.250
Si2 Si 0.776 0.224 0.750
H1 H 0.500 0.500 0.000
H2 H 0.500 0.500 0.500
Pd1 Pd 0.335 0.665 0.556
Pd2 Pd 0.335 0.665 0.944
Pd3 Pd 0.665 0.335 0.056
Pd4 Pd 0.665 0.335 0.444
```

* E_tot: -0.2074 hartree per atom
* space-group type: Cmcm, No. 63
* theoretical density: 7.84 g cm⁻³

---

(11)
VASP calculation (PBE) on La2SnHPd6 after structural relaxation.

```
data_La2SnHPd6
_chemical_formula_sum 'La2 Sn1 H1 Pd6'
_cell_length_a 5.832
_cell_length_b 5.832
_cell_length_c 7.269
_cell_angle_alpha 114.12
_cell_angle_beta 114.12
_cell_angle_gamma 60.06
_symmetry_space_group_name_H-M 'P 1'
_symmetry_Int_Tables_number 1
loop_
_symmetry_equiv_pos_as_xyz
'x,y,z'
loop_
_atom_site_label
_atom_site_type_symbol
_atom_site_fract_x
_atom_site_fract_y
_atom_site_fract_z
La1 La 0.233 0.233 0.204
La2 La 0.767 0.767 0.796
Sn1 Sn 0.500 0.500 0.000
H1 H 0.000 0.000 0.500
Pd1 Pd 0.224 0.224 0.675
Pd2 Pd 0.226 0.735 0.682
Pd3 Pd 0.265 0.774 0.318
Pd4 Pd 0.735 0.226 0.682
Pd5 Pd 0.774 0.265 0.318
Pd6 Pd 0.776 0.776 0.325
```

* E_tot: -0.2031 hartree per atom
* space-group type: C2/m, No. 12
* theoretical density: 9.11 g cm⁻³

---

Number 1: D(E_F) 1.4 states/eV/cell. Number 2: D(E_F) 4.1 states/eV/cell. Number 3: D(E_F) 1.4 states/eV/cell. Number 4: D(E_F) 4.0 states/eV/cell. Number 5: D(E_F) 5.0 states/eV/cell. Number 6: D(E_F) 4.1 states/eV/cell. Number 7: D(E_F) 2.8 states/eV/cell. Number 8: D(E_F) 3.3 states/eV/cell. Number 9: D(E_F) 5.4 states/eV/cell. Number 10: D(E_F) 3.6 states/eV/cell. Number 11: D(E_F) 5.5 states/eV/cell.